Material: CeCuHgAu
Method: DFT, GGA-PBE
State: optimized geometry

```
4
Lattice="-2.288 -1.903 -3.922 -0.759 -4.855 -0.291 -4.556 -1.810 0.447" Properties=species:S:1:pos:R:3 pbc="T T T"
Ce 0.000 0.000 0.000
Hg -3.802 -4.284 -1.883
Cu -1.901 -2.142 -0.942
Au -5.703 -6.426 -2.825
```

Computed properties:
VASP energy   -3.7020 eV/atom
Space group   F-43m (216)
DFT formation energy   -0.300 eV/atom